DFT (PBEsol) results for a geometry-optimized LuMnO3 structure.

Structure (POSCAR):
```
LuMnO3
1.0
-4.5953 1.9727 3.2784
4.7796 -2.3892 2.6839
4.7703 10.1758 0.5633
O Mn Lu
18 6 6
direct
0.3044 0.3044 0.3335
0.6667 0.3333 0.9777
0.6667 0.3333 0.4777
0.3617 0.3617 0.6646
0.3333 0.6667 0.4777
0.0000 0.6956 0.3335
0.3617 0.0000 0.1646
0.3044 0.0000 0.8335
0.6383 0.6383 0.1646
0.3333 0.6667 0.9777
0.6383 0.0000 0.6646
0.0000 0.0000 0.0242
0.0000 0.0000 0.5242
0.6956 0.6956 0.8335
0.0000 0.6383 0.6646
0.6956 0.0000 0.3335
0.0000 0.3044 0.8335
0.0000 0.3617 0.1646
0.3335 0.0000 0.9992
0.3335 0.3335 0.4992
0.6665 0.6665 0.9992
0.0000 0.3335 0.9992
0.6665 0.0000 0.4992
0.0000 0.6665 0.4992
0.3333 0.6667 0.7693
0.0000 0.0000 0.2228
0.6667 0.3333 0.7693
0.3333 0.6667 0.2693
0.6667 0.3333 0.2693
0.0000 0.0000 0.7228
```

Calculated values
Formation energy from raw total energies ... -2.726 eV per atom
Symmetry ... No. 185


DFT (PBEsol) results for a geometry-optimized Au4Cl structure.

Structure (POSCAR):
```
Au4Cl
1.0
-1.9025 2.3764 -4.1064
-3.8164 -2.1041 2.6716
2.4712 3.3801 2.9321
Au Cl
4 1
direct
0.0000 0.5000 0.0000
0.5000 0.5000 0.5000
0.0000 0.0000 0.5000
0.5000 0.0000 0.0000
0.0000 0.0000 0.0000
```

Calculated values
Energy above the most stable polymorph in this dataset ... 0.582 eV/atom
Formation energy from raw total energies ... 0.792 eV per atom
Symmetry ... No. 229


DFT (PBEsol) results for a geometry-optimized LiSBr3 structure.

Structure (POSCAR):
```
LiSBr3
1.0
-3.6379 1.1539 3.0587
2.9317 -0.8734 3.8163
1.4465 4.6720 -0.0420
S Li Br
1 1 3
direct
0.5000 0.5000 0.5000
0.0000 0.0000 0.0000
0.0000 0.0000 0.5000
0.0000 0.5000 0.0000
0.5000 0.0000 0.0000
```

Calculated values
Formation energy from raw total energies ... 0.158 eV per atom
Symmetry ... No. 221


DFT (PBEsol) results for a geometry-optimized BePdPt2Br structure.

Structure (POSCAR):
```
BePdPt2Br
1.0
-3.1084 2.7548 -0.5276
-2.2033 -2.8855 -2.0854
-1.8971 -1.3888 3.9260
Pt Be Pd Br
2 1 1 1
direct
0.5000 0.0000 0.0000
0.0000 0.5000 0.0000
0.0000 0.0000 0.0000
0.5000 0.5000 0.5000
0.0000 0.0000 0.5000
```

Calculated values
Formation energy from raw total energies ... 0.556 eV per atom
Symmetry ... No. 123


DFT (PBEsol) results for a geometry-optimized NaTiI2N structure.

Structure (POSCAR):
```
NaTiI2N
1.0
4.2435 0.0000 0.0000
0.0000 5.7028 0.0000
0.0000 0.0000 5.7028
I Ti N Na
2 1 1 1
direct
0.0000 0.5000 0.0000
0.0000 0.0000 0.5000
0.5000 0.5000 0.5000
0.5000 0.0000 0.0000
0.0000 0.0000 0.0000
```

Calculated values
Formation energy from raw total energies ... 0.960 eV per atom
Symmetry ... No. 123


DFT (PBEsol) results for a geometry-optimized NiBiI2O structure.

Structure (POSCAR):
```
NiBiI2O
1.0
3.5899 0.0000 0.0000
0.0000 5.5756 0.0000
0.0000 0.0000 5.5756
O I Ni Bi
1 2 1 1
direct
0.5000 0.0000 0.0000
0.0000 0.0000 0.5000
0.0000 0.5000 0.0000
0.0000 0.0000 0.0000
0.5000 0.5000 0.5000
```

Calculated values
Formation energy from raw total energies ... -0.118 eV per atom
Symmetry ... No. 123


DFT (PBEsol) results for a geometry-optimized MnAgSe2 structure.

Structure (POSCAR):
```
MnAgSe2
1.0
-1.7229 1.9433 -1.4433
-0.4352 -1.9914 -2.1617
-6.5218 -2.8541 3.9423
Se Ag Mn
2 1 1
direct
0.5000 0.5000 0.2854
0.0000 0.0000 0.9179
0.0000 0.0000 0.5290
0.5000 0.5000 0.7677
```

Calculated values
Formation energy from raw total energies ... 0.082 eV per atom
Symmetry ... No. 99


DFT (PBEsol) results for a geometry-optimized SrCaSi2 structure.

Structure (POSCAR):
```
SrCaSi2
1.0
3.9344 0.0000 0.0000
0.0000 4.5995 0.0000
0.0000 -2.2997 5.5214
Sr Si Ca
1 2 1
direct
0.0000 0.1083 0.2166
0.5000 0.6883 0.3766
0.0000 0.8201 0.6402
0.5000 0.3869 0.7739
```

Calculated values
Formation energy from raw total energies ... -0.538 eV per atom
Symmetry ... No. 38


DFT (PBEsol) results for a geometry-optimized Si3H structure.

Structure (POSCAR):
```
Si3H
1.0
-3.2397 0.6485 -1.9433
-0.1159 -1.8449 3.3578
-1.2421 9.7979 5.3404
Si H
6 2
direct
0.6667 0.3333 0.2542
0.3333 0.6667 0.5354
0.6667 0.3333 0.8137
0.3333 0.6667 0.7458
0.6667 0.3333 0.4646
0.3333 0.6667 0.1863
0.6667 0.3333 0.9481
0.3333 0.6667 0.0519
```

Calculated values
Energy ... -40.726 eV/cell
Symmetry ... No. 164


DFT (PBEsol) results for a geometry-optimized Al2CdW structure.

Structure (POSCAR):
```
Al2CdW
1.0
3.6042 0.0000 0.0000
0.0000 4.2000 0.0000
0.0000 0.0000 4.2000
Al Cd W
2 1 1
direct
0.0000 0.0000 0.5000
0.0000 0.5000 0.0000
0.5000 0.5000 0.5000
0.5000 0.0000 0.0000
```

Calculated values
Energy of formation from the pure elements ... 252.5 meV per atom
Symmetry ... No. 123


DFT (PBEsol) results for a geometry-optimized TlTcPS2 structure.

Structure (POSCAR):
```
TlTcPS2
1.0
-1.3472 -3.7245 -2.3737
4.3139 -0.4631 -1.7217
1.1507 -2.7199 3.6148
Tl S P Tc
1 2 1 1
direct
0.5000 0.5000 0.5000
0.0000 0.5000 0.0000
0.0000 0.0000 0.5000
0.5000 0.0000 0.0000
0.0000 0.0000 0.0000
```

Calculated values
Formation energy from raw total energies ... 0.128 eV per atom
Symmetry ... No. 123